1.
DFT (GGA-PBEsol) results for a relaxed Zr2NiP crystal.

Values from the calculation:
Formation energy from the elements (eV/f.u.): -1.79

Cell: 3.1753 3.1753 6.9033 Å, 90.00 90.00 103.16°
Positions (direct):
Ni 0.0000 0.0000 0.4572
P 0.5000 0.5000 0.2969
Zr 0.0000 0.0000 0.0480
Zr 0.5000 0.5000 0.6979

***

2.
DFT (GGA-PBEsol) results for a relaxed CsAl3Si3O12 crystal.

Values from the calculation:
Energy relative to the elements, uncorrected (eV per atom): -2.674

Cell: 5.2950 5.2950 21.7481 Å, 91.21 95.79 119.92°
Positions (direct):
Cs 0.6325 0.8807 0.7409
Cs 0.3602 0.1084 0.2409
Al 0.1365 0.8192 0.5027
Al 0.8076 0.6244 0.0022
Al 0.8778 0.1945 0.5022
Al 0.1835 0.3662 0.0027
Al 0.9048 0.5255 0.6270
Al 0.6015 0.7222 0.1270
Si 0.2191 0.1811 0.6297
Si 0.0474 0.5920 0.8746
Si 0.7826 0.8272 0.3746
Si 0.9487 0.4107 0.1297
Si 0.3930 0.2805 0.8743
Si 0.0938 0.4813 0.3743
O 0.0230 0.2981 0.6592
O 0.1894 0.4122 0.8434
O 0.9313 0.6540 0.3434
O 0.8611 0.6361 0.1592
O 0.5613 0.4241 0.6473
O 0.2227 0.9281 0.8541
O 0.4261 0.6314 0.3541
O 0.7232 0.0860 0.1473
O 0.1490 0.8798 0.6604
O 0.7016 0.4352 0.8427
O 0.9074 0.1410 0.3427
O 0.2807 0.5115 0.1604
O 0.1254 0.1103 0.5528
O 0.0573 0.5643 0.9486
O 0.8843 0.8913 0.4486
O 0.9425 0.4274 0.0528
O 0.5232 0.9256 0.5277
O 0.9072 0.9834 0.9668
O 0.4834 0.0596 0.4668
O 0.1022 0.0045 0.0277
O 0.9348 0.5175 0.5477
O 0.4670 0.3711 0.9478
O 0.0767 0.4808 0.4478
O 0.5301 0.6128 0.0477

***

3.
DFT (GGA-PBEsol) results for a relaxed ZrCoRh crystal.

Values from the calculation:
Formation energy from the elements (eV/f.u.): 0.31

Cell: 4.2139 4.2139 4.2139 Å, 60.00 60.00 60.00°
Each line ends with the local moment (μB).
Positions (direct):
Co 0.5000 0.5000 0.5000  1.57
Rh 0.2500 0.2500 0.2500  0.30
Zr 0.0000 0.0000 0.0000  -0.11

***

4.
DFT (GGA-PBEsol) results for a relaxed K2NaPdF6 crystal.

Values from the calculation:
Energy relative to the elements, uncorrected (eV per atom): -2.238

Cell: 5.9528 5.9528 5.9528 Å, 60.00 60.00 60.00°
Each line ends with the local moment (μB).
Positions (direct):
Na 0.5000 0.5000 0.5000  0.01
K 0.2500 0.2500 0.2500  0.00
K 0.7500 0.7500 0.7500  0.00
Pd 0.0000 0.0000 0.0000  0.65
F 0.2392 0.7608 0.2392  0.05
F 0.2392 0.2392 0.7608  0.05
F 0.7608 0.7608 0.2392  0.05
F 0.2392 0.7608 0.7608  0.05
F 0.7608 0.2392 0.7608  0.05
F 0.7608 0.2392 0.2392  0.05

***

5.
DFT (GGA-PBEsol) results for a relaxed CoOs2 crystal.

Values from the calculation:
Formation energy from the elements (eV/f.u.): 1.53

Cell: 2.6214 4.2268 4.2268 Å, 120.00 90.00 90.00°
Each line ends with the local moment (μB).
Positions (direct):
Co 0.0000 0.0000 0.0000  1.22
Os 0.5311 0.6667 0.3333  0.05
Os 0.4689 0.3333 0.6667  0.05

***

6.
DFT (GGA-PBEsol) results for a relaxed Sr2TcAs crystal.

Values from the calculation:
Formation energy from the elements (eV/f.u.): -0.13

Cell: 3.7730 5.1478 6.1863 Å, 114.59 107.75 90.00°
Positions (direct):
Sr 0.0360 0.0360 0.0719
Sr 0.2388 0.7388 0.4775
As 0.7942 0.2942 0.5884
Tc 0.4311 0.4311 0.8621

***

7.
DFT (GGA-PBEsol) results for a relaxed NaAlSiPb2 crystal.

Values from the calculation:
Energy relative to the elements, uncorrected (eV per atom): 0.609

Cell: 5.2373 5.3565 5.3565 Å, 90.00 90.00 90.00°
Positions (direct):
Pb 0.0000 0.0000 0.5000
Pb 0.0000 0.5000 0.0000
Na 0.5000 0.0000 0.0000
Si 0.0000 0.0000 0.0000
Al 0.5000 0.5000 0.5000

***

8.
DFT (GGA-PBEsol) results for a relaxed MnTc2Os crystal.

Values from the calculation:
Formation energy from the elements (eV/f.u.): 0.83

Cell: 2.9990 4.2030 4.9908 Å, 114.90 107.48 90.00°
Each line ends with the local moment (μB).
Positions (direct):
Mn 0.5000 0.0000 0.0000  2.49
Os 0.0000 0.5000 0.0000  0.14
Tc 0.7664 0.7664 0.5327  -0.06
Tc 0.2336 0.2336 0.4673  -0.06

***

9.
DFT (GGA-PBEsol) results for a relaxed Mg3NbTl crystal.

Values from the calculation:
Formation energy from the elements (eV/f.u.): 5.32

Cell: 5.4293 5.4293 5.4293 Å, 90.00 90.00 90.00°
Each line ends with the local moment (μB).
Positions (direct):
Mg 0.0000 0.5000 0.0000  0.04
Mg 0.0000 0.0000 0.5000  0.04
Mg 0.5000 0.0000 0.0000  0.04
Tl 0.5000 0.5000 0.5000  0.00
Nb 0.0000 0.0000 0.0000  2.45

***

10.
DFT (GGA-PBEsol) results for a relaxed SiAgBr2 crystal.

Values from the calculation:
Energy relative to the elements, uncorrected (eV per atom): 0.106

Cell: 3.5539 3.5024 8.7165 Å, 90.00 90.00 120.49°
Positions (direct):
Ag 0.5000 0.0000 0.7257
Br 0.0000 0.0000 0.9429
Br 0.5000 0.0000 0.3054
Si 0.0000 0.0000 0.5260

***

11.
DFT (GGA-PBEsol) results for a relaxed Zn2NiSb crystal.

Values from the calculation:
Energy relative to the elements, uncorrected (eV per atom): 0.080

Cell: 3.9621 4.0042 4.0042 Å, 100.74 90.00 90.00°
Positions (direct):
Ni 0.5000 0.0000 0.0000
Sb 0.5000 0.5000 0.5000
Zn 0.0000 0.5000 0.0000
Zn 0.0000 0.0000 0.5000

***

12.
DFT (GGA-PBEsol) results for a relaxed CaCrW2 crystal.

Values from the calculation:
Formation energy from the elements (eV/f.u.): 3.65

Cell: 2.6525 5.2888 5.4641 Å, 116.02 98.76 100.77°
Each line ends with the local moment (μB).
Positions (direct):
Ca 0.5000 0.0000 0.0000  0.02
Cr 0.0000 0.5000 0.0000  0.81
W 0.0000 0.0000 0.5000  -0.06
W 0.5000 0.5000 0.5000  -0.06